Here is crystalline TbCeCdNi at its relaxed geometry from Alexandria. Energies are from PBE.

abc: 5.1226 5.1226 5.1226
angles: 60.00 60.00 60.00
Last column: magnetic moment on the atom in μB.
Fractional coordinates of all 4 atoms:
Ni 0.2500 0.2500 0.2500  -0.07
Tb 0.5000 0.5000 0.5000  0.02
Cd 0.7500 0.7500 0.7500  0.00
Ce 0.0000 0.0000 0.0000  0.59

formation enthalpy at 0 K	-13.3	kJ/mol of atoms
crystal system	cubic
space group	F-43m (216)
D(E_F)	7.71	states/eV/f.u.